[1]
Here is ThTe2Ir after structural relaxation from the Alexandria database. Energies are from PBE.

Structure (POSCAR):
```
ThTe2Ir
1.0
3.866 0.000 0.000
1.933 3.348 0.000
1.933 1.116 9.271
Ir Te Th
1 2 1
Cartesian
3.866 2.232 4.636 Ir
1.933 1.116 6.090 Te
5.799 3.348 3.182 Te
0.000 0.000 0.000 Th
```

Calculated values
density of states at the Fermi level	5.195	states/eV/cell
final energy	-5.692	eV/atom
symmetry	No. 166

[2]
Here is ThTeIr after structural relaxation from the Alexandria database. Energies are from PBE.

Structure (POSCAR):
```
ThTeIr
1.0
4.382 0.000 0.000
2.191 3.795 0.000
2.191 1.265 11.386
Th Te Ir
2 2 2
Cartesian
4.382 2.530 3.747 Th
4.382 2.530 7.639 Th
2.191 1.265 1.853 Te
6.573 3.795 9.533 Te
6.573 3.795 5.650 Ir
2.191 1.265 5.736 Ir
```

Calculated values
final energy	-7.412	eV/atom
symmetry	No. 166

[3]
Here is Th2TeIr after structural relaxation from the Alexandria database. Energies are from PBE.

Structure (POSCAR):
```
Th2TeIr
1.0
-4.051 -0.468 0.912
-1.156 -2.452 3.180
-1.349 5.153 6.230
Th Te Ir
2 1 1
Cartesian
-1.427 3.922 5.252 Th
-1.658 0.259 2.343 Th
-3.277 1.132 5.173 Te
-4.821 3.189 8.943 Ir
```

Calculated values
density of states at the Fermi level	3.912	states/eV/cell
final energy	-7.806	eV/atom
symmetry	No. 160

[4]
Here is Th6TlTe3Ir2 after structural relaxation from the Alexandria database. Energies are from PBE.

Structure (POSCAR):
```
Th6TlTe3Ir2
1.0
-2.082 -1.946 -3.203
0.543 -7.988 4.501
-7.280 5.153 4.471
Th Tl Te Ir
6 1 3 2
Cartesian
-5.023 -4.220 5.830 Th
-3.694 -3.962 1.939 Th
-3.797 -0.562 -0.060 Th
-0.179 -1.912 1.278 Th
-8.640 -2.869 4.491 Th
-5.126 -0.819 3.830 Th
-1.041 -0.973 -1.602 Tl
-0.770 -4.967 0.649 Te
-6.646 0.577 1.100 Te
-2.173 -5.359 4.669 Te
-6.163 -3.490 3.257 Ir
-2.657 -1.291 2.512 Ir
```

Calculated values
density of states at the Fermi level	10.158	states/eV/cell
final energy	-7.083	eV/atom
symmetry	No. 12

[5]
Here is YThTeIr after structural relaxation from the Alexandria database. Energies are from PBE.

Structure (POSCAR):
```
YThTeIr
1.0
4.196 -0.001 0.000
-2.098 3.635 0.000
-2.098 -1.212 7.472
Y Th Te Ir
1 1 1 1
Cartesian
0.397 -0.266 4.944 Y
-1.702 3.369 0.484 Th
2.495 0.946 2.802 Te
-1.701 0.946 6.488 Ir
```

Calculated values
density of states at the Fermi level	0.690	states/eV/cell
final energy	-7.586	eV/atom
symmetry	No. 160

[6]
Here is Ti3Te8Ir after structural relaxation from the Alexandria database. Energies are from PBE.

Structure (POSCAR):
```
Ti3Te8Ir
1.0
7.404 0.000 0.000
-3.702 5.288 -3.653
0.000 0.626 8.505
Ti Te Ir
3 8 1
Cartesian
3.702 0.000 0.000 Ti
1.851 2.644 -1.826 Ti
-1.851 2.644 -1.826 Ti
0.000 3.149 4.615 Te
3.702 2.764 0.237 Te
1.816 0.505 6.480 Te
5.588 0.505 6.480 Te
3.702 3.201 4.618 Te
0.000 2.712 0.233 Te
-1.886 5.408 -1.628 Te
1.886 5.408 -1.628 Te
0.000 0.000 0.000 Ir
```

Calculated values
density of states at the Fermi level	3.603	states/eV/cell
final energy	-5.353	eV/atom
symmetry	No. 12

[7]
Here is TiTeIr2 after structural relaxation from the Alexandria database. Energies are from PBE.

Structure (POSCAR):
```
TiTeIr2
1.0
5.519 0.000 0.000
0.000 5.519 0.000
2.759 2.759 6.222
Ir Te Ti
4 2 2
Cartesian
4.026 1.380 1.555 Ir
1.493 4.139 1.555 Ir
4.139 4.252 4.666 Ir
6.899 6.786 4.666 Ir
0.000 0.000 0.000 Te
5.519 2.759 3.111 Te
2.759 2.759 0.000 Ti
2.759 5.519 3.111 Ti
```

Calculated values
density of states at the Fermi level	4.446	states/eV/cell
final energy	-6.992	eV/atom
symmetry	No. 122

[8]
Here is TiTeIr after structural relaxation from the Alexandria database. Energies are from PBE.

Structure (POSCAR):
```
TiTeIr
1.0
-2.461 -2.516 -2.624
1.434 -1.004 -4.026
3.635 -7.356 2.163
Ir Ti Te
2 2 2
Cartesian
-0.088 -3.071 -3.559 Ir
2.697 -7.805 -0.929 Ir
0.194 -1.745 -1.343 Ti
2.415 -9.131 -3.144 Ti
0.262 -5.386 -5.084 Te
2.347 -5.489 0.596 Te
```

Calculated values
density of states at the Fermi level	0.321	states/eV/cell
final energy	-7.236	eV/atom
symmetry	No. 12

[9]
Here is Tl4TeIr after structural relaxation from the Alexandria database. Energies are from PBE.

Structure (POSCAR):
```
Tl4TeIr
1.0
3.826 -3.025 3.905
1.457 2.525 5.526
-2.249 -2.499 5.266
Tl Te Ir
4 1 1
Cartesian
3.047 -2.634 7.464 Tl
0.017 -2.372 8.143 Tl
1.865 0.133 8.272 Tl
1.139 -1.126 5.516 Tl
0.000 0.000 0.000 Te
2.275 -2.249 11.023 Ir
```

Calculated values
density of states at the Fermi level	5.093	states/eV/cell
final energy	-2.823	eV/atom
symmetry	No. 216

[10]
Here is Tl2TeIr after structural relaxation from the Alexandria database. Energies are from PBE.

Structure (POSCAR):
```
Tl2TeIr
1.0
6.327 -0.002 0.000
3.552 5.236 0.000
-4.940 -2.617 2.964
Ir Te Tl
1 1 2
Cartesian
1.776 2.618 1.482 Ir
3.164 -0.001 1.482 Te
0.000 0.000 0.000 Tl
4.940 2.617 0.000 Tl
```

Calculated values
density of states at the Fermi level	3.286	states/eV/cell
final energy	-3.656	eV/atom
symmetry	No. 139

[11]
Here is TlTe4Ir after structural relaxation from the Alexandria database. Energies are from PBE.

Structure (POSCAR):
```
TlTe4Ir
1.0
-4.812 3.231 2.453
-1.327 5.772 -2.131
-5.198 0.977 -3.411
Tl Te Ir
1 4 1
Cartesian
-8.503 7.485 -2.317 Tl
-6.672 5.363 0.092 Te
-6.868 4.220 -2.884 Te
-4.904 6.653 -2.234 Te
-4.230 3.724 -1.153 Te
0.000 0.000 0.000 Ir
```

Calculated values
density of states at the Fermi level	10.272	states/eV/cell
final energy	-3.021	eV/atom
symmetry	No. 216

[12]
Here is TlTeIr3 after structural relaxation from the Alexandria database. Energies are from PBE.

Structure (POSCAR):
```
TlTeIr3
1.0
4.929 0.000 0.000
0.000 4.929 0.000
0.000 0.000 4.929
Tl Ir Te
1 3 1
Cartesian
2.464 2.464 2.464 Tl
0.000 2.464 0.000 Ir
0.000 0.000 2.464 Ir
2.464 0.000 0.000 Ir
0.000 0.000 0.000 Te
```

Calculated values
density of states at the Fermi level	4.323	states/eV/cell
final energy	-4.933	eV/atom
symmetry	No. 221

[13]
Here is Tl2TeIr after structural relaxation from the Alexandria database. Energies are from PBE.

Structure (POSCAR):
```
Tl2TeIr
1.0
-7.172 1.862 0.163
-6.127 -3.121 2.765
6.904 2.638 0.555
Ir Te Tl
1 1 2
Cartesian
-6.264 -0.593 1.379 Ir
-3.976 -0.655 2.621 Te
-0.158 -0.015 0.035 Tl
-2.647 2.012 0.912 Tl
```

Calculated values
density of states at the Fermi level	1.857	states/eV/cell
final energy	-4.003	eV/atom
symmetry	No. 44

[14]
Here is TlTeIr4 after structural relaxation from the Alexandria database. Energies are from PBE.

Structure (POSCAR):
```
TlTeIr4
1.0
4.882 -1.798 -1.309
1.422 -5.028 1.217
0.561 -3.646 -3.895
Tl Te Ir
1 1 4
Cartesian
0.000 0.000 0.000 Tl
5.149 -7.853 -2.990 Te
5.017 -4.825 -2.150 Ir
2.854 -5.750 -3.444 Ir
3.285 -6.442 -0.886 Ir
2.574 -3.925 -1.495 Ir
```

Calculated values
density of states at the Fermi level	11.341	states/eV/cell
final energy	-6.185	eV/atom
symmetry	No. 216

Looking at density for the records above, in order, we have 9.40, 9.68, 10.99, 10.65, 9.34, 6.44, 9.81, 8.66, 10.95, 12.32, 8.54, 12.60, 11.26, 16.74 g/cm³.